Record 1
VASP calculation (PBE) on an optimized crystal structure of PmPr2Er.

a b c (Å): 3.6533 3.6533 35.4855
angles (deg): 90.00 90.00 120.00
With the nearest neighbours (Å) after each atom.
Space group R-3m (No. 166, hexagonal axes)
Inequivalent atoms, fractional coordinates:
Pm 0.0000 0.0000 0.0000  6 Pm 3.65, 6 Pr 3.67
Pr 0.0000 0.0000 0.2486  3 Er 3.59, 6 Pr 3.65, 3 Pm 3.67
Er 0.0000 0.0000 0.5000  6 Pr 3.59, 6 Er 3.65

The value obtained for the energy relative to the elements is 14.6 meV per atom. The density of states at the Fermi level comes out at 14.141 states/eV/cell. As for the magnetic moment: 0.000 Bohr magnetons per cell. The calculated volume comes out at 410 Å³ per cell. As for the total energy: -4.7035 eV per atom. Its energy relative to the lowest polymorph listed for this composition is 0.000 eV/atom. For the theoretical density, the calculation gives 7.216 g/cm³.


Record 2
VASP calculation (PBE) on an optimized crystal structure of Pm2Pr7Er4.

a b c (Å): 6.2512 6.2512 13.2438
angles (deg): 90.00 90.00 120.00
With the nearest neighbours (Å) after each atom.
Space group P-31m (No. 162)
Inequivalent atoms, fractional coordinates:
Pm 0.3333 0.6667 0.0000  9 Pr 3.59-3.61, 3 Pm 3.61
Pr 0.0000 0.0000 0.0000  6 Pm 3.61, 6 Pr 3.81
Pr 0.0000 0.3739 0.2267  1 Er 3.21, 4 Pr 3.41, 2 Pm 3.59
Er 0.0000 0.0000 0.3927  1 Er 2.84
Er 0.3333 0.6667 0.5000  9 Er 3.61-3.88

The value obtained for the energy relative to the elements is 176.3 meV per atom. The density of states at the Fermi level comes out at 16.443 states/eV/cell. As for the magnetic moment: 0.000 Bohr magnetons per cell. The calculated volume comes out at 448 Å³ per cell. As for the total energy: -4.5321 eV per atom. For the theoretical density, the calculation gives 7.208 g/cm³.


Record 3
VASP calculation (PBE) on an optimized crystal structure of Pm2Pr5Er12.

a b c (Å): 18.3792 7.0848 10.3547
angles (deg): 90.00 111.19 90.00
With the nearest neighbours (Å) after each atom.
Space group C2/m (No. 12)
Inequivalent atoms, fractional coordinates:
Pm 0.0000 0.2213 0.0000  2 Er 3.11, 1 Pm 3.14
Pr 0.0000 0.5000 0.5000  2 Er 2.85
Pr 0.1819 0.0000 0.2126  2 Pr 3.56, 2 Pm 3.63, 9 Er 3.66-3.99
Pr 0.1887 0.5000 0.1842  5 Er 3.29-3.58, 2 Pr 3.56
Er 0.0034 0.0000 0.6733  7 Er 3.35-3.72
Er 0.0244 0.5000 0.2437  1 Pr 2.85, 2 Pm 3.11
Er 0.1580 0.2527 0.8675  6 Er 3.35-3.64, 2 Pr 3.54-3.58, 1 Pm 3.64
Er 0.1621 0.2470 0.5189  6 Er 3.39-3.64, 4 Pr 3.42-3.75

The value obtained for the energy relative to the elements is 175.7 meV per atom. The density of states at the Fermi level comes out at 52.756 states/eV/cell. As for the magnetic moment: 0.002 Bohr magnetons per cell. The calculated volume comes out at 1257 Å³ per cell. As for the total energy: -4.4639 eV per atom. Its energy relative to the lowest polymorph listed for this composition is 0.153 eV/atom. For the theoretical density, the calculation gives 7.930 g/cm³.


Record 4
VASP calculation (PBE) on an optimized crystal structure of Pm5Pr3Er2.

a b c (Å): 10.9305 15.1842 9.9608
angles (deg): 90.00 123.03 90.00
With the nearest neighbours (Å) after each atom.
Space group C2/c (No. 15)
Inequivalent atoms, fractional coordinates:
Pm 0.0000 0.0203 0.2500  5 Pr 3.17-3.53, 2 Er 3.52, 2 Pm 3.52
Pm 0.0000 0.2721 0.7500  1 Pm 3.07, 2 Pr 3.37
Pm 0.0000 0.4740 0.7500  1 Pm 3.07, 2 Er 3.38
Pm 0.2359 0.3780 0.2289  3 Pm 3.51-3.59, 3 Pr 3.52-3.85, 2 Er 3.62-3.77
Pr 0.0000 0.2289 0.2500  3 Pm 3.17-3.52, 4 Er 3.38-3.54, 2 Pr 3.51
Pr 0.1476 0.1259 0.0537  1 Er 3.30, 6 Pm 3.37-3.67, 1 Pr 3.51
Er 0.1558 0.3773 0.5518  3 Pr 3.30-3.54, 5 Pm 3.38-3.62

The value obtained for the energy relative to the elements is 176.7 meV per atom. The density of states at the Fermi level comes out at 66.685 states/eV/cell. As for the magnetic moment: 0.000 Bohr magnetons per cell. The calculated volume comes out at 1386 Å³ per cell. As for the total energy: -4.5450 eV per atom. For the theoretical density, the calculation gives 7.103 g/cm³.


Record 5
VASP calculation (PBE) on an optimized crystal structure of Pm2PrEr.

a b c (Å): 8.1719 8.1719 8.1719
angles (deg): 90.00 90.00 90.00
With the nearest neighbours (Å) after each atom.
Space group Fm-3m (No. 225)
Inequivalent atoms, fractional coordinates:
Pm 0.2500 0.2500 0.2500  4 Er 3.54, 4 Pr 3.54
Pr 0.0000 0.0000 0.0000  8 Pm 3.54
Er 0.0000 0.0000 0.5000  8 Pm 3.54

The value obtained for the energy relative to the elements is 143.0 meV per atom. The density of states at the Fermi level comes out at 43.320 states/eV/cell. As for the magnetic moment: 0.222 Bohr magnetons per cell. The calculated volume comes out at 546 Å³ per cell. As for the total energy: -4.5679 eV per atom. Its energy relative to the lowest polymorph listed for this composition is 0.127 eV/atom. For the theoretical density, the calculation gives 7.281 g/cm³.


Record 6
VASP calculation (PBE) on an optimized crystal structure of PmPr4Er5.

a b c (Å): 3.5940 8.5814 11.3266
angles (deg): 94.76 90.13 102.03
With the nearest neighbours (Å) after each atom.
Space group P-1 (No. 2)
Inequivalent atoms, fractional coordinates:
Pm 0.0000 0.0000 0.0000  2 Pr 3.06
Pr 0.0389 0.0761 0.7402  1 Pm 3.06, 3 Er 3.26-3.28
Pr 0.3540 0.7096 0.7531  6 Er 3.56-3.95, 4 Pr 3.57-3.59, 2 Pm 3.98
Er 0.1785 0.3551 0.5571  2 Pr 3.26-3.56, 6 Er 3.37-3.59
Er 0.3095 0.6191 0.1112  4 Pr 3.44-3.73, 4 Er 3.56-3.59
Er 0.5000 0.0000 0.5000  4 Pr 3.28, 6 Er 3.49-3.59

The value obtained for the energy relative to the elements is 174.5 meV per atom. The density of states at the Fermi level comes out at 15.306 states/eV/cell. As for the magnetic moment: 0.000 Bohr magnetons per cell. The calculated volume comes out at 340 Å³ per cell. As for the total energy: -4.4938 eV per atom. Its energy relative to the lowest polymorph listed for this composition is 0.156 eV/atom. For the theoretical density, the calculation gives 7.536 g/cm³.